Here is a relaxed structure of CrCoPt2 from Alexandria. Energies are from PBE.

Cell and atoms, written as CIF:
```
data_CrCoPt2
_cell_length_a 8.840
_cell_length_b 8.840
_cell_length_c 8.840
_cell_angle_alpha 17.60
_cell_angle_beta 17.60
_cell_angle_gamma 17.60
_space_group_name_H-M_alt 'P 1'
_space_group_IT_number 1
loop_
_space_group_symop_operation_xyz
'x,y,z'
loop_
_atom_site_label
_atom_site_type_symbol
_atom_site_fract_x
_atom_site_fract_y
_atom_site_fract_z
Pt1 Pt 0.000 0.000 0.000
Pt2 Pt 0.500 0.500 0.500
Cr1 Cr 0.750 0.750 0.750
Co1 Co 0.250 0.250 0.250
```

formation energy	-38	meV/atom
density	15.1	g/cm3

Here is a relaxed structure of CrCoPt2 from Alexandria. Energies are from PBE.

Cell and atoms, written as CIF:
```
data_CrCoPt2
_cell_length_a 4.659
_cell_length_b 4.659
_cell_length_c 4.659
_cell_angle_alpha 132.22
_cell_angle_beta 132.20
_cell_angle_gamma 69.90
_space_group_name_H-M_alt 'P 1'
_space_group_IT_number 1
loop_
_space_group_symop_operation_xyz
'x,y,z'
loop_
_atom_site_label
_atom_site_type_symbol
_atom_site_fract_x
_atom_site_fract_y
_atom_site_fract_z
Pt1 Pt 0.000 0.000 0.000
Pt2 Pt 0.750 0.250 0.500
Co1 Co 0.500 0.500 0.000
Cr1 Cr 0.250 0.750 0.500
```

formation energy	-101	meV/atom
density	15.3	g/cm3

Here is a relaxed structure of Cr2CoPt from Alexandria. Energies are from PBE.

Cell and atoms, written as CIF:
```
data_Cr2CoPt
_cell_length_a 2.985
_cell_length_b 2.985
_cell_length_c 5.635
_cell_angle_alpha 90.00
_cell_angle_beta 90.00
_cell_angle_gamma 90.00
_space_group_name_H-M_alt 'P 1'
_space_group_IT_number 1
loop_
_space_group_symop_operation_xyz
'x,y,z'
loop_
_atom_site_label
_atom_site_type_symbol
_atom_site_fract_x
_atom_site_fract_y
_atom_site_fract_z
Co1 Co 0.500 0.500 0.793
Pt1 Pt 0.000 0.000 0.503
Cr1 Cr 0.500 0.500 0.223
Cr2 Cr 0.000 0.000 0.981
```

formation energy	51	meV/atom
density	11.8	g/cm3

Here is a relaxed structure of Cr2CoPt from Alexandria. Energies are from PBE.

Cell and atoms, written as CIF:
```
data_Cr2CoPt
_cell_length_a 3.781
_cell_length_b 3.602
_cell_length_c 3.602
_cell_angle_alpha 90.00
_cell_angle_beta 90.00
_cell_angle_gamma 90.00
_space_group_name_H-M_alt 'P 1'
_space_group_IT_number 1
loop_
_space_group_symop_operation_xyz
'x,y,z'
loop_
_atom_site_label
_atom_site_type_symbol
_atom_site_fract_x
_atom_site_fract_y
_atom_site_fract_z
Cr1 Cr 0.000 0.000 0.000
Cr2 Cr 0.000 0.500 0.500
Co1 Co 0.500 0.000 0.500
Pt1 Pt 0.500 0.500 0.000
```

formation energy	-73	meV/atom
density	12.1	g/cm3

Here is a relaxed structure of CrCo3Pt12 from Alexandria. Energies are from PBE.

Cell and atoms, written as CIF:
```
data_CrCo3Pt12
_cell_length_a 3.890
_cell_length_b 3.890
_cell_length_c 15.624
_cell_angle_alpha 90.00
_cell_angle_beta 90.00
_cell_angle_gamma 90.00
_space_group_name_H-M_alt 'P 1'
_space_group_IT_number 1
loop_
_space_group_symop_operation_xyz
'x,y,z'
loop_
_atom_site_label
_atom_site_type_symbol
_atom_site_fract_x
_atom_site_fract_y
_atom_site_fract_z
Co1 Co 0.000 0.000 0.500
Co2 Co 0.000 0.000 0.254
Co3 Co 0.000 0.000 0.746
Pt1 Pt 0.000 0.500 0.624
Pt2 Pt 0.000 0.500 0.126
Pt3 Pt 0.500 0.000 0.376
Pt4 Pt 0.000 0.500 0.874
Pt5 Pt 0.500 0.000 0.126
Pt6 Pt 0.500 0.500 0.500
Pt7 Pt 0.500 0.500 0.251
Pt8 Pt 0.500 0.500 0.749
Pt9 Pt 0.000 0.500 0.376
Pt10 Pt 0.500 0.000 0.624
Pt11 Pt 0.500 0.500 0.000
Pt12 Pt 0.500 0.000 0.874
Cr1 Cr 0.000 0.000 0.000
```

formation energy	-113	meV/atom
density	18.1	g/cm3

Here is a relaxed structure of CrCoPt2 from Alexandria. Energies are from PBE.

Cell and atoms, written as CIF:
```
data_CrCoPt2
_cell_length_a 4.318
_cell_length_b 2.677
_cell_length_c 4.707
_cell_angle_alpha 89.99
_cell_angle_beta 90.00
_cell_angle_gamma 90.00
_space_group_name_H-M_alt 'P 1'
_space_group_IT_number 1
loop_
_space_group_symop_operation_xyz
'x,y,z'
loop_
_atom_site_label
_atom_site_type_symbol
_atom_site_fract_x
_atom_site_fract_y
_atom_site_fract_z
Co1 Co 0.000 0.625 0.462
Cr1 Cr 0.500 0.625 0.783
Pt1 Pt 0.000 0.125 0.948
Pt2 Pt 0.500 0.125 0.307
```

formation energy	-115	meV/atom
density	15.3	g/cm3